[1]
Below is an optimized crystal structure of Sr2Li2NbO6, with properties calculated at the PBE-GGA level.

abc: 6.1004 6.1004 6.1004
angles: 56.95 56.95 56.95
Last column: nearest neighbours and their distance in Å.
Atoms (fractional coordinates):
Sr  0.2217  0.2217  0.2217  9 O 2.66-2.95
Sr  0.7783  0.7783  0.7783  9 O 2.66-2.95
Li  0.4276  0.4276  0.4276  3 O 1.79
Li  0.5724  0.5724  0.5724  3 O 1.79
Nb  0.0000  0.0000  0.0000  6 O 2.01
O  0.2312  0.7623  0.7623  1 Li 1.79, 1 Nb 2.01
O  0.2377  0.2377  0.7688  1 Li 1.79, 1 Nb 2.01
O  0.2377  0.7688  0.2377  1 Li 1.79, 1 Nb 2.01
O  0.7623  0.2312  0.7623  1 Li 1.79, 1 Nb 2.01
O  0.7623  0.7623  0.2312  1 Li 1.79, 1 Nb 2.01
O  0.7688  0.2377  0.2377  1 Li 1.79, 1 Nb 2.01

Properties
**Energy relative to the elements, uncorrected**: -2.30 eV per atom
**Theoretical density**: 4.2 Mg/m³
**Space group**: R-3m

[2]
Below is an optimized crystal structure of LaHf2Fe2, with properties calculated at the PBE-GGA level.

abc: 7.7021 7.7021 3.1892
angles: 90.00 90.00 90.00
Last column: nearest neighbours and their distance in Å.
Atoms (fractional coordinates):
La  0.0000  0.0000  0.0000  4 Fe 2.96, 2 La 3.19
La  0.5000  0.5000  0.0000  4 Fe 2.96, 2 La 3.19
Hf  0.1412  0.3588  0.5000  6 Fe 2.71-2.84
Hf  0.3588  0.8588  0.5000  6 Fe 2.71-2.84
Hf  0.6412  0.1412  0.5000  6 Fe 2.71-2.84
Hf  0.8588  0.6412  0.5000  6 Fe 2.71-2.84
Fe  0.1434  0.6434  0.0000  6 Hf 2.71-2.84, 2 La 2.96
Fe  0.3566  0.1434  0.0000  6 Hf 2.71-2.84, 2 La 2.96
Fe  0.6434  0.8566  0.0000  6 Hf 2.71-2.84, 2 La 2.96
Fe  0.8566  0.3566  0.0000  6 Hf 2.71-2.84, 2 La 2.96

Properties
**Energy relative to the lowest polymorph listed for this composition**: 0.58 eV/f.u.
**Theoretical density**: 10.7 Mg/m³
**Space group**: P4/mbm
**Energy of formation**: 0.086 eV per atom